1.
! Al3ReN, relaxed, DFT PBE-GGA; values from VASP
! Mass density   7.42 g/cm3
! Calculated total energy   -0.238 Ha/atom
! Energy relative to the elements, uncorrected   -71.4 meV per atom
&SYSTEM
  ibrav = 0, nat = 5, ntyp = 3
/
ATOMIC_SPECIES
N 14.01 N.upf
Al 26.98 Al.upf
Re 186.21 Re.upf
ATOMIC_POSITIONS crystal
N 0.0000 0.0000 0.0000
Al 0.5000 0.0000 0.0000
Al 0.0000 0.5000 0.0000
Al 0.0000 0.0000 0.5000
Re 0.5000 0.5000 0.5000
CELL_PARAMETERS angstrom
3.9773 0.0000 0.0000
0.0000 3.9773 0.0000
0.0000 0.0000 3.9773

2.
! TaTe2WN, relaxed, DFT PBE-GGA; values from VASP
! Mass density   9.04 g/cm3
! Calculated total energy   -0.255 Ha/atom
! Energy relative to the elements, uncorrected   939.9 meV per atom
&SYSTEM
  ibrav = 0, nat = 5, ntyp = 4
/
ATOMIC_SPECIES
N 14.01 N.upf
Te 127.60 Te.upf
W 183.84 W.upf
Ta 180.95 Ta.upf
ATOMIC_POSITIONS crystal
N 0.0000 0.0000 0.5000
Te 0.0000 0.5000 0.0000
Te 0.5000 0.0000 0.0000
W 0.5000 0.5000 0.5000
Ta 0.0000 0.0000 0.0000
CELL_PARAMETERS angstrom
5.5088 0.0000 0.0000
0.0000 5.5088 0.0000
0.0000 0.0000 3.8380

3.
! HfTa2H, relaxed, DFT PBE-GGA; values from VASP
! Mass density   14.82 g/cm3
! Calculated total energy   -0.341 Ha/atom
&SYSTEM
  ibrav = 0, nat = 8, ntyp = 3
/
ATOMIC_SPECIES
Hf 178.49 Hf.upf
H 1.01 H.upf
Ta 180.95 Ta.upf
ATOMIC_POSITIONS crystal
Hf 0.2597 0.2485 0.7500
Hf 0.7403 0.7515 0.2500
H 0.8053 0.6914 0.7500
H 0.1947 0.3086 0.2500
Ta 0.6088 0.2462 0.0762
Ta 0.6088 0.2462 0.4238
Ta 0.3912 0.7538 0.5762
Ta 0.3912 0.7538 0.9238
CELL_PARAMETERS angstrom
-0.5368 -2.9359 0.0521
5.2764 2.1078 -0.5443
0.8663 -0.0101 8.3582

4.
! HfIrSN2, relaxed, DFT PBE-GGA; values from VASP
! Mass density   8.56 g/cm3
! Calculated total energy   -0.255 Ha/atom
! Energy relative to the elements, uncorrected   974.6 meV per atom
&SYSTEM
  ibrav = 0, nat = 5, ntyp = 4
/
ATOMIC_SPECIES
N 14.01 N.upf
Hf 178.49 Hf.upf
Ir 192.22 Ir.upf
S 32.06 S.upf
ATOMIC_POSITIONS crystal
N 0.0000 0.5000 0.0000
N 0.5000 0.0000 0.0000
Hf 0.0000 0.0000 0.0000
Ir 0.5000 0.5000 0.5000
S 0.0000 0.0000 0.5000
CELL_PARAMETERS angstrom
4.0333 0.0000 0.0000
0.0000 4.0333 0.0000
0.0000 0.0000 5.1370

5.
! KNb3Ir, relaxed, DFT PBE-GGA; values from VASP
! Energy of formation   1097 meV/atom
! Mass density   6.70 g/cm3
! Calculated total energy   -0.255 Ha/atom
&SYSTEM
  ibrav = 0, nat = 5, ntyp = 3
/
ATOMIC_SPECIES
Nb 92.91 Nb.upf
Ir 192.22 Ir.upf
K 39.10 K.upf
ATOMIC_POSITIONS crystal
Nb 0.5000 0.0000 0.0000
Nb 0.0000 0.0000 0.5000
Nb 0.0000 0.5000 0.0000
Ir 0.0000 0.0000 0.0000
K 0.5000 0.5000 0.5000
CELL_PARAMETERS angstrom
5.0183 0.0000 0.0000
0.0000 5.0183 0.0000
0.0000 0.0000 5.0183

6.
! RbPrBe2F8, relaxed, DFT PBE-GGA; values from VASP
! Mass density   3.50 g/cm3
! Calculated total energy   -0.213 Ha/atom
! Energy relative to the elements, uncorrected   -3457.0 meV per atom
&SYSTEM
  ibrav = 0, nat = 12, ntyp = 4
/
ATOMIC_SPECIES
Be 9.01 Be.upf
F 19.00 F.upf
Rb 85.47 Rb.upf
Pr 140.91 Pr.upf
ATOMIC_POSITIONS crystal
Be 0.2492 0.2492 0.2525
Be 0.7508 0.7508 0.7475
F 0.7773 0.4887 0.6715
F 0.6913 0.6913 0.9261
F 0.9375 0.5113 0.3285
F 0.4887 0.0625 0.6715
F 0.0625 0.7773 0.6715
F 0.5113 0.2227 0.3285
F 0.3087 0.3087 0.0739
F 0.2227 0.9375 0.3285
Rb 0.0000 0.0000 0.0000
Pr 0.5000 0.5000 0.5000
CELL_PARAMETERS angstrom
5.1096 0.0000 0.0000
2.5548 4.4251 0.0000
2.5548 1.4750 8.3148

no.,D(E_F) (states/eV/atom)
1,0.816
2,0.764
3,0.942
4,1.296
5,1.076
6,0.000